(1)
DFT (PBE) results for a geometry-optimized CsCa3Pb structure.

abc: 6.3006 6.3006 6.3006
angles: 90.00 90.00 90.00
Last column: nearest neighbours and their distance in Å.
Sites, in units of the cell vectors:
Pb: 0.0000 0.0000 0.0000  6 Ca 3.15
Cs: 0.5000 0.5000 0.5000  12 Ca 4.46
Ca: 0.0000 0.5000 0.0000  2 Pb 3.15
Ca: 0.0000 0.0000 0.5000  2 Pb 3.15
Ca: 0.5000 0.0000 0.0000  2 Pb 3.15

* energy above the lowest structure with this stoichiometry: 0 meV per atom
* ΔH_f (0 K): -0.0607 eV per atom


(2)
DFT (PBE) results for a geometry-optimized LaEu3F structure.

abc: 5.4313 5.4313 5.4313
angles: 90.00 90.00 90.00
Last column: nearest neighbours and their distance in Å.
Sites, in units of the cell vectors:
Eu: 0.0000 0.5000 0.0000  2 F 2.72
Eu: 0.0000 0.0000 0.5000  2 F 2.72
Eu: 0.5000 0.0000 0.0000  2 F 2.72
F: 0.0000 0.0000 0.0000  6 Eu 2.72
La: 0.5000 0.5000 0.5000  12 Eu 3.84

* energy relative to the elements, uncorrected: -4.9 eV/f.u.


(3)
DFT (PBE) results for a geometry-optimized Mg5Rh2 structure.

abc: 4.5815 7.9088 7.3129
angles: 100.37 108.26 90.00
Last column: nearest neighbours and their distance in Å.
Sites, in units of the cell vectors:
Mg: 0.3596 0.4528 0.2190  4 Rh 2.65-2.73
Mg: 0.1407 0.0472 0.7810  4 Rh 2.65-2.73
Mg: 0.0401 0.6801 0.5806  1 Rh 2.73, 7 Mg 2.86-2.97
Mg: 0.4595 0.8199 0.4194  1 Rh 2.73, 7 Mg 2.86-2.97
Mg: 0.9599 0.3199 0.4194  1 Rh 2.73, 7 Mg 2.86-2.97
Mg: 0.5405 0.1801 0.5806  1 Rh 2.73, 7 Mg 2.86-2.97
Mg: 0.8593 0.9528 0.2190  4 Rh 2.65-2.73
Mg: 0.6404 0.5472 0.7810  4 Rh 2.65-2.73
Mg: 0.7500 0.2500 0.0000  8 Mg 2.86-3.03, 6 Rh 2.90-2.92
Mg: 0.2500 0.7500 0.0000  8 Mg 2.86-3.03, 6 Rh 2.90-2.92
Rh: 0.1594 0.3876 0.8191  8 Mg 2.65-2.92
Rh: 0.3404 0.1124 0.1809  8 Mg 2.65-2.92
Rh: 0.8406 0.6124 0.1809  8 Mg 2.65-2.92
Rh: 0.6596 0.8876 0.8191  8 Mg 2.65-2.92

* energy above the lowest structure with this stoichiometry: 2 meV per atom
* ΔH_f (0 K): -0.3911 eV per atom


(4)
DFT (PBE) results for a geometry-optimized Tb3Ho6In structure.

abc: 3.5280 12.8182 15.9572
angles: 121.32 90.00 90.00
Last column: nearest neighbours and their distance in Å.
Sites, in units of the cell vectors:
Tb: 0.7500 0.3876 0.8969  1 In 3.27, 7 Ho 3.27-3.60, 4 Tb 3.52-3.53
Tb: 0.2500 0.6124 0.1031  1 In 3.27, 7 Ho 3.27-3.60, 4 Tb 3.52-3.53
Tb: 0.7500 0.6198 0.4969  7 Ho 3.35-3.67, 4 Tb 3.53-3.59
Tb: 0.2500 0.3802 0.5031  7 Ho 3.35-3.67, 4 Tb 3.53-3.59
Tb: 0.7500 0.1247 0.0922  4 Ho 3.23-3.56, 4 Tb 3.49-3.53
Tb: 0.2500 0.8753 0.9078  4 Ho 3.23-3.56, 4 Tb 3.49-3.53
Ho: 0.7500 0.5959 0.7108  7 Ho 3.39-3.65, 5 Tb 3.49-3.76
Ho: 0.2500 0.4041 0.2892  7 Ho 3.39-3.65, 5 Tb 3.49-3.76
Ho: 0.7500 0.8593 0.1070  2 In 3.49, 6 Ho 3.51-3.59, 5 Tb 3.53-3.73
Ho: 0.2500 0.1407 0.8930  2 In 3.49, 6 Ho 3.51-3.59, 5 Tb 3.53-3.73
Ho: 0.7500 0.3806 0.0989  4 Tb 3.23-3.43, 7 Ho 3.39-3.59
Ho: 0.2500 0.6194 0.9011  4 Tb 3.23-3.43, 7 Ho 3.39-3.59
Ho: 0.7500 0.6646 0.3083  2 In 3.32, 3 Tb 3.35-3.46, 7 Ho 3.43-3.65
Ho: 0.2500 0.3354 0.6917  2 In 3.32, 3 Tb 3.35-3.46, 7 Ho 3.43-3.65
Ho: 0.7500 0.1141 0.4774  3 In 3.33-3.46, 6 Ho 3.53-3.59, 2 Tb 3.67
Ho: 0.2500 0.8859 0.5226  3 In 3.33-3.46, 6 Ho 3.53-3.59, 2 Tb 3.67
Ho: 0.7500 0.8815 0.7167  1 In 3.22, 3 Tb 3.37-3.56, 6 Ho 3.51-3.59
Ho: 0.2500 0.1185 0.2833  1 In 3.22, 3 Tb 3.37-3.56, 6 Ho 3.51-3.59
In: 0.7500 0.1184 0.6959  8 Ho 3.22-3.49, 1 Tb 3.27, 2 In 3.53
In: 0.2500 0.8816 0.3041  8 Ho 3.22-3.49, 1 Tb 3.27, 2 In 3.53

* energy above the lowest structure with this stoichiometry: 39 meV per atom
* ΔH_f (0 K): -0.0319 eV per atom


(5)
DFT (PBE) results for a geometry-optimized PmRe2N4 structure.

abc: 3.5159 3.5159 8.9516
angles: 78.67 78.67 60.00
Last column: nearest neighbours and their distance in Å.
Sites, in units of the cell vectors:
Pm: 0.0000 0.0000 0.0000  6 N 2.40
Re: 0.7872 0.7872 0.6383  4 N 1.86-2.04
Re: 0.2128 0.2128 0.3617  4 N 1.86-2.04
N: 0.7160 0.7160 0.8521  1 Re 1.86
N: 0.8734 0.8734 0.3799  4 Re 2.04-2.25
N: 0.2840 0.2840 0.1479  1 Re 1.86
N: 0.1266 0.1266 0.6201  4 Re 2.04-2.25

* energy above the lowest structure with this stoichiometry: 99 meV per atom
* energy relative to the elements, uncorrected: -1.2 eV/f.u.


(6)
DFT (PBE) results for a geometry-optimized MgRe2W structure.

abc: 2.8260 2.8260 8.0809
angles: 90.00 90.00 90.00
Last column: nearest neighbours and their distance in Å.
Sites, in units of the cell vectors:
Mg: 0.5000 0.5000 0.7500  4 Mg 2.83, 8 Re 2.92
Re: 0.0000 0.0000 0.0137  4 W 2.76, 4 Re 2.83, 4 Mg 2.92
Re: 0.0000 0.0000 0.4863  4 W 2.76, 4 Re 2.83, 4 Mg 2.92
W: 0.5000 0.5000 0.2500  8 Re 2.76, 4 W 2.83

* ΔH_f (0 K): 0.3870 eV per atom


(7)
DFT (PBE) results for a geometry-optimized Ba4NaCd2Au structure.

abc: 6.0454 6.0454 10.4526
angles: 73.19 73.19 60.00
Last column: nearest neighbours and their distance in Å.
Sites, in units of the cell vectors:
Ba: 0.3850 0.3850 0.8449  1 Au 3.40, 4 Cd 3.56-3.75
Ba: 0.8666 0.8666 0.4002  3 Au 3.63, 4 Cd 3.69-3.89, 1 Na 3.94, 3 Ba 4.01
Ba: 0.1334 0.1334 0.5998  3 Au 3.63, 4 Cd 3.69-3.89, 1 Na 3.94, 3 Ba 4.01
Ba: 0.6150 0.6150 0.1551  1 Au 3.40, 4 Cd 3.56-3.75
Na: 0.0000 0.0000 0.0000  8 Ba 3.81-3.94, 6 Cd 4.14
Cd: 0.7418 0.7418 0.7747  8 Ba 3.56-3.89
Cd: 0.2582 0.2582 0.2253  8 Ba 3.56-3.89
Au: 0.5000 0.5000 0.5000  8 Ba 3.40-3.63

* ΔH_f (0 K): -0.3208 eV per atom


(8)
DFT (PBE) results for a geometry-optimized Pm6Nd4Th structure.

abc: 5.9741 5.7193 26.0875
angles: 90.00 90.00 121.49
Last column: nearest neighbours and their distance in Å.
Sites, in units of the cell vectors:
Pm: 0.5000 0.0000 0.0000  8 Nd 3.25-3.62
Pm: 0.5000 0.0000 0.5000  8 Nd 3.25-3.62
Pm: 0.1126 0.2252 0.3167  5 Pm 3.48-3.85, 4 Nd 3.61-3.75, 3 Th 3.68-3.82
Pm: 0.8874 0.7748 0.6833  5 Pm 3.48-3.85, 4 Nd 3.61-3.75, 3 Th 3.68-3.82
Pm: 0.8874 0.7748 0.8167  5 Pm 3.48-3.85, 4 Nd 3.61-3.75, 3 Th 3.68-3.82
Pm: 0.1126 0.2252 0.1833  5 Pm 3.48-3.85, 4 Nd 3.61-3.75, 3 Th 3.68-3.82
Pm: 0.7957 0.5915 0.3970  6 Nd 3.37-3.76, 1 Pm 3.73
Pm: 0.2043 0.4085 0.6030  6 Nd 3.37-3.76, 1 Pm 3.73
Pm: 0.2043 0.4085 0.8970  6 Nd 3.37-3.76, 1 Pm 3.73
Pm: 0.7957 0.5915 0.1030  6 Nd 3.37-3.76, 1 Pm 3.73
Pm: 0.4392 0.8785 0.2500  2 Nd 3.32, 3 Th 3.32-3.37, 2 Pm 3.63
Pm: 0.5608 0.1215 0.7500  2 Nd 3.32, 3 Th 3.32-3.37, 2 Pm 3.63
Nd: 0.8527 0.7055 0.5435  8 Pm 3.50-3.86, 2 Nd 3.58-3.66
Nd: 0.4461 0.8922 0.1229  6 Pm 3.25-3.61, 1 Nd 3.58
Nd: 0.1473 0.2945 0.4565  8 Pm 3.50-3.86, 2 Nd 3.58-3.66
Nd: 0.5539 0.1078 0.8771  6 Pm 3.25-3.61, 1 Nd 3.58
Nd: 0.8527 0.7055 0.9565  8 Pm 3.50-3.86, 2 Nd 3.58-3.66
Nd: 0.1473 0.2945 0.0435  8 Pm 3.50-3.86, 2 Nd 3.58-3.66
Nd: 0.5539 0.1078 0.6229  6 Pm 3.25-3.61, 1 Nd 3.58
Nd: 0.4461 0.8922 0.3771  6 Pm 3.25-3.61, 1 Nd 3.58
Th: 0.7799 0.5597 0.2500  5 Pm 3.32-3.68
Th: 0.2201 0.4403 0.7500  5 Pm 3.32-3.68

* ΔH_f (0 K): 0.1328 eV per atom